[1]
BaTe2Os after structural relaxation. Source: the Alexandria database, functional PBE.

Structure (POSCAR):
```
BaTe2Os
1.0
-2.046 3.237 4.618
2.046 -3.237 4.618
2.046 3.237 -4.618
Ba Te Os
1 2 1
Cartesian
0.000 0.000 0.000 Ba
2.046 0.000 2.951 Te
0.000 3.237 1.667 Te
0.000 0.000 4.618 Os
```

Calculated values
- formation energy without anion corrections (eV/atom) = -0.282
- polymorph energy (0 for the lowest one) (meV/atom) = 160
- calculated volume (A^3/atom) = 30.6
- symmetry = Immm (71)
- total moment (Bohr magnetons per cell) = 0.0

***

[2]
Y2TcGeF after structural relaxation. Source: the Alexandria database, functional PBE.

Structure (POSCAR):
```
Y2TcGeF
1.0
5.512 0.000 0.000
0.000 5.512 0.000
0.000 0.000 4.490
Y Tc Ge F
2 1 1 1
Cartesian
0.000 2.756 0.000 Y
2.756 0.000 0.000 Y
0.000 0.000 2.245 Tc
0.000 0.000 0.000 Ge
2.756 2.756 2.245 F
```

Calculated values
- formation energy without anion corrections (eV/atom) = -0.031
- calculated volume (A^3/atom) = 27.3
- symmetry = P4/mmm (123)
- total moment (Bohr magnetons per cell) = 0.0

***

[3]
SrCaCu2O4 after structural relaxation. Source: the Alexandria database, functional PBE.

Structure (POSCAR):
```
SrCaCu2O4
1.0
-2.770 2.770 3.353
2.770 -2.770 3.353
2.770 2.770 -3.353
Sr Ca Cu O
1 1 2 4
Cartesian
0.000 0.000 0.000 Sr
0.000 0.000 3.353 Ca
2.770 0.000 1.676 Cu
0.000 2.770 1.676 Cu
1.385 1.385 -1.676 O
1.385 -1.385 1.676 O
-1.385 1.385 1.676 O
1.385 1.385 1.676 O
```

Calculated values
- formation energy without anion corrections (eV/atom) = -1.732
- polymorph energy (0 for the lowest one) (meV/atom) = 0
- calculated volume (A^3/atom) = 12.9
- symmetry = I4/mmm (139)
- total moment (Bohr magnetons per cell) = 0.0

***

[4]
NdGdHoRu after structural relaxation. Source: the Alexandria database, functional PBE.

Structure (POSCAR):
```
NdGdHoRu
1.0
0.000 3.689 3.689
3.689 0.000 3.689
3.689 3.689 0.000
Nd Gd Ho Ru
1 1 1 1
Cartesian
0.000 0.000 0.000 Nd
3.689 3.689 3.689 Gd
5.534 5.534 5.534 Ho
1.845 1.845 1.845 Ru
```

Calculated values
- energy of formation from the pure elements (eV/f.u.) = 0.6
- calculated volume (A^3/atom) = 25.1
- symmetry = F-43m (216)
- total moment (Bohr magnetons per cell) = 7.5